## AsC3 (GGA-PBE)

Data for AsC3 after structural relaxation.

Results
offset from the most stable computed form: 1.492 eV per atom
E_form: 9.017 eV/f.u.
total magnetization: 0.00 μB/f.u.
total energy: -5.826 eV per atom

Unit cell a=2.5874 b=2.5874 c=8.5215 alpha=90.00 beta=90.00 gamma=120.00
Space group P-6m2 (No. 187)
One atom of each set of equivalent atoms:
1 As 0.0000 0.0000 0.0000 [1 per cell]
2 C 0.0000 0.0000 0.5000 [1 per cell]
3 C 0.6667 0.3333 0.4038 [2 per cell]